*1*
First-principles (PBE) data for a relaxed structure of Tm12Ni6Hg, as listed in Alexandria via LeMat-Bulk.

It has space group R-3 (No. 148, hexagonal axes), with a = 13.4871 Å, b = 13.4871 Å, c = 8.6315 Å, α = 90.00°, β = 90.00° and γ = 120.00°. The asymmetric unit holds Tm at (0.0387, 0.2553, 0.4265), Tm at (0.0594, 0.1795, 0.8308), Ni at (0.0732, 0.5004, 0.7858) and Hg at (0.0000, 0.0000, 0.5000).

Its total moment is 0.000 μB per cell.

---

*2*
First-principles (PBE) data for a relaxed structure of Tm12Ni6Hg, as listed in Alexandria via LeMat-Bulk.

It has space group Im-3 (No. 204), with a = 9.526 Å, b = 9.526 Å, c = 9.526 Å, α = 90.00°, β = 90.00° and γ = 90.00°. The asymmetric unit holds Tm at (0.000, 0.187, 0.301), Ni at (0.000, 0.376, 0.500) and Hg at (0.000, 0.000, 0.000).

Its total moment is 0.000 μB per cell.

---

Result of the stability comparison: *2* is the most stable of them.

---

*1*
First-principles (PBE) data for a relaxed structure of VNiHg3, as listed in Alexandria via LeMat-Bulk.

It has space group Pm-3m (No. 221), with a = 4.920 Å, b = 4.920 Å, c = 4.920 Å, α = 90.00°, β = 90.00° and γ = 90.00°. The asymmetric unit holds V at (0.000, 0.000, 0.000), Ni at (0.500, 0.500, 0.500) and Hg at (0.000, 0.500, 0.500).

Its total moment is 3.925 μB per cell.

---

*2*
First-principles (PBE) data for a relaxed structure of VNiHg3, as listed in Alexandria via LeMat-Bulk.

It has space group Pm-3m (No. 221), with a = 5.260 Å, b = 5.260 Å, c = 5.260 Å, α = 90.00°, β = 90.00° and γ = 90.00°. The asymmetric unit holds V at (0.000, 0.000, 0.000), Ni at (0.500, 0.500, 0.500) and Hg at (0.000, 0.000, 0.500).

Its total moment is 4.067 μB per cell.

---

Result of the stability comparison: *1* is the most stable of them.

---

*1*
First-principles (PBE) data for a relaxed structure of V3NiHg, as listed in Alexandria via LeMat-Bulk.

It has space group Pm-3m (No. 221), with a = 4.389 Å, b = 4.389 Å, c = 4.389 Å, α = 90.00°, β = 90.00° and γ = 90.00°. The asymmetric unit holds V at (0.000, 0.000, 0.500), Ni at (0.000, 0.000, 0.000) and Hg at (0.500, 0.500, 0.500).

Its total moment is 1.530 μB per cell.

---

*2*
First-principles (PBE) data for a relaxed structure of V3NiHg, as listed in Alexandria via LeMat-Bulk.

It has space group Pm-3m (No. 221), with a = 4.968 Å, b = 4.968 Å, c = 4.968 Å, α = 90.00°, β = 90.00° and γ = 90.00°. The asymmetric unit holds V at (0.000, 0.000, 0.500), Ni at (0.500, 0.500, 0.500) and Hg at (0.000, 0.000, 0.000).

Its total moment is 8.131 μB per cell.

---

Result of the stability comparison: *1* is the most stable of them.

---

*1*
First-principles (PBE) data for a relaxed structure of NiHg2W, as listed in Alexandria via LeMat-Bulk.

It has space group I4/mmm (No. 139), with a = 4.153 Å, b = 4.153 Å, c = 8.061 Å, α = 90.00°, β = 90.00° and γ = 90.00°. The asymmetric unit holds Ni at (0.000, 0.000, 0.000), Hg at (0.000, 0.500, 0.250) and W at (0.000, 0.000, 0.500).

Its total moment is 3.561 μB per cell.

---

*2*
First-principles (PBE) data for a relaxed structure of NiHg2W, as listed in Alexandria via LeMat-Bulk.

It has space group P2/m (No. 10), with a = 2.821 Å, b = 4.459 Å, c = 5.617 Å, α = 90.00°, β = 102.27° and γ = 90.00°. The asymmetric unit holds Ni at (0.000, 0.000, 0.000), Hg at (0.156, 0.500, 0.758) and W at (0.500, 0.000, 0.500).

Its total moment is 0.005 μB per cell.

---

Result of the stability comparison: *2* is the most stable of them.